5
Lattice="5.193 0.000 0.000 0.000 5.193 0.000 0.000 0.000 5.193" Properties=species:S:1:pos:R:3 comment="Mg3NbPd, relaxed, DFT GGA-PBEsol" magnetic_moment_mub_per_fu=3.5 n_ef_per_ev_cell=3.25 delta_e_f_ev_per_atom=1.4949 crystal_system=cubic sg=Pm-3m vol_a3_per_cell=140.0 pbc="T T T"
Mg 0.000 2.596 0.000
Nb 0.000 0.000 0.000
Pd 2.596 2.596 2.596
Mg 2.596 0.000 0.000
Mg 0.000 0.000 2.596